VASP calculation (PBE) on Sr2Li3HfH12 after structural relaxation.

Unit cell a=6.2688 b=6.2688 c=6.2688 alpha=59.65 beta=59.65 gamma=59.65
With the nearest neighbours (Å) after each atom.
Positions (direct):
Sr: 0.1063 0.1063 0.1063  6 H 2.28-2.38
Sr: 0.8937 0.8937 0.8937  6 H 2.28-2.38
Li: 0.0000 0.5000 0.5000  6 H 1.82-1.93
Li: 0.5000 0.0000 0.5000  6 H 1.82-1.93
Li: 0.5000 0.5000 0.0000  6 H 1.82-1.93
Hf: 0.5000 0.5000 0.5000  12 H 2.04-2.22
H: 0.0997 0.6382 0.6382  1 Li 1.93, 1 Hf 2.04, 2 H 2.05
H: 0.2597 0.2597 0.6403  2 Li 1.82
H: 0.2597 0.6403 0.2597  2 Li 1.82
H: 0.3597 0.7403 0.7403  2 Li 1.82
H: 0.3618 0.3618 0.9003  1 Li 1.93, 1 Hf 2.04, 2 H 2.05
H: 0.3618 0.9003 0.3618  1 Li 1.93, 1 Hf 2.04, 2 H 2.05
H: 0.6382 0.0997 0.6382  1 Li 1.93, 1 Hf 2.04, 2 H 2.05
H: 0.6382 0.6382 0.0997  1 Li 1.93, 1 Hf 2.04, 2 H 2.05
H: 0.6403 0.2597 0.2597  2 Li 1.82
H: 0.7403 0.3597 0.7403  2 Li 1.82
H: 0.7403 0.7403 0.3597  2 Li 1.82
H: 0.9003 0.3618 0.3618  1 Li 1.93, 1 Hf 2.04, 2 H 2.05

---

VASP calculation (PBE) on LiHfTe2H after structural relaxation.

Unit cell a=5.0151 b=5.0151 c=3.6111 alpha=90.00 beta=90.00 gamma=90.00
With the nearest neighbours (Å) after each atom.
Positions (direct):
Li: 0.0000 0.0000 0.0000  2 H 1.81
Hf: 0.5000 0.5000 0.0000  8 Te 3.09
Te: 0.0000 0.5000 0.5000  2 H 2.51
Te: 0.5000 0.0000 0.5000  2 H 2.51
H: 0.0000 0.0000 0.5000  2 Li 1.81

---

VASP calculation (PBE) on LiHfTi2H after structural relaxation.

Unit cell a=4.1506 b=4.1506 c=4.1484 alpha=90.00 beta=90.00 gamma=90.00
With the nearest neighbours (Å) after each atom.
Positions (direct):
Li: 0.0000 0.0000 0.0000  2 H 2.07
Hf: 0.5000 0.5000 0.0000  8 Ti 2.93, 4 Li 2.93
Ti: 0.0000 0.5000 0.5000  2 H 2.08
Ti: 0.5000 0.0000 0.5000  2 H 2.08
H: 0.0000 0.0000 0.5000  2 Li 2.07, 4 Ti 2.08

---

VASP calculation (PBE) on LiHfVH2 after structural relaxation.

Unit cell a=3.7173 b=3.7173 c=4.6866 alpha=90.00 beta=90.00 gamma=90.00
With the nearest neighbours (Å) after each atom.
Positions (direct):
Li: 0.0000 0.0000 0.0000  4 H 1.86
Hf: 0.5000 0.5000 0.5000  4 V 2.63
V: 0.0000 0.0000 0.5000  2 Li 2.34
H: 0.0000 0.5000 0.0000  2 Li 1.86
H: 0.5000 0.0000 0.0000  2 Li 1.86

---

VASP calculation (PBE) on LiHf2ZnH after structural relaxation.

Unit cell a=4.4166 b=4.4166 c=3.7311 alpha=90.00 beta=90.00 gamma=90.00
With the nearest neighbours (Å) after each atom.
Positions (direct):
Li: 0.0000 0.0000 0.0000  2 H 1.87
Hf: 0.0000 0.5000 0.5000  2 H 2.21
Hf: 0.5000 0.0000 0.5000  2 H 2.21
Zn: 0.5000 0.5000 0.0000  8 Hf 2.89, 4 Li 3.12
H: 0.0000 0.0000 0.5000  2 Li 1.87

---

VASP calculation (PBE) on LiHf2ZrH after structural relaxation.

Unit cell a=4.4071 b=4.4071 c=4.3101 alpha=90.00 beta=90.00 gamma=90.00
With the nearest neighbours (Å) after each atom.
Positions (direct):
Li: 0.0000 0.0000 0.0000  2 H 2.16
Hf: 0.0000 0.5000 0.5000  2 H 2.20
Hf: 0.5000 0.0000 0.5000  2 H 2.20
Zr: 0.5000 0.5000 0.0000  8 Hf 3.08, 4 Li 3.12
H: 0.0000 0.0000 0.5000  2 Li 2.16, 4 Hf 2.20

---

VASP calculation (PBE) on LiHf2ZrH after structural relaxation.

Unit cell a=5.4902 b=5.4902 c=3.4918 alpha=90.00 beta=90.00 gamma=90.00
With the nearest neighbours (Å) after each atom.
Positions (direct):
Li: 0.0000 0.0000 0.0000  8 Hf 3.25, 2 Li 3.49
Hf: 0.0000 0.5000 0.5000  2 Zr 2.75
Hf: 0.5000 0.0000 0.5000  2 Zr 2.75
Zr: 0.5000 0.5000 0.5000  2 H 1.75
H: 0.5000 0.5000 0.0000  2 Zr 1.75

---

VASP calculation (PBE) on LuHfH after structural relaxation.

Unit cell a=5.5578 b=5.5578 c=6.2233 alpha=91.29 beta=91.29 gamma=32.02
With the nearest neighbours (Å) after each atom.
Positions (direct):
Lu: 0.0000 0.0000 0.0000  4 H 2.43
Lu: 0.0000 0.0000 0.5000  4 H 2.47
Hf: 0.2583 0.2583 0.7272  2 H 2.27
Hf: 0.7417 0.7417 0.2728  2 H 2.27
H: 0.3968 0.3968 0.2405  2 Hf 2.27, 4 Lu 2.43-2.47
H: 0.6032 0.6032 0.7595  2 Hf 2.27, 4 Lu 2.43-2.47

---

VASP calculation (PBE) on Lu2HfH after structural relaxation.

Unit cell a=3.1897 b=3.1897 c=7.9019 alpha=90.00 beta=90.00 gamma=90.00
With the nearest neighbours (Å) after each atom.
Positions (direct):
Lu: 0.0000 0.0000 0.2057  4 H 2.78
Lu: 0.0000 0.0000 0.7943  4 H 2.78
Hf: 0.5000 0.5000 0.5000  4 Hf 3.19, 8 Lu 3.24
H: 0.5000 0.5000 0.0000  8 Lu 2.78

---

VASP calculation (PBE) on Lu3Hf5H12 after structural relaxation.

Unit cell a=10.4396 b=10.4396 c=10.4396 alpha=109.47 beta=109.47 gamma=109.47
With the nearest neighbours (Å) after each atom.
Positions (direct):
Lu: 0.1250 0.2500 0.3750  8 H 2.13-2.24
Lu: 0.1250 0.3750 0.7500  8 H 2.13-2.24
Lu: 0.2500 0.3750 0.1250  8 H 2.13-2.24
Lu: 0.2500 0.8750 0.6250  8 H 2.13-2.24
Lu: 0.3750 0.1250 0.2500  8 H 2.13-2.24
Lu: 0.3750 0.7500 0.1250  8 H 2.13-2.24
Lu: 0.6250 0.2500 0.8750  8 H 2.13-2.24
Lu: 0.6250 0.8750 0.7500  8 H 2.13-2.24
Lu: 0.7500 0.1250 0.3750  8 H 2.13-2.24
Lu: 0.7500 0.6250 0.8750  8 H 2.13-2.24
Lu: 0.8750 0.6250 0.2500  8 H 2.13-2.24
Lu: 0.8750 0.7500 0.6250  8 H 2.13-2.24
Hf: 0.0000 0.0000 0.0000  6 H 2.01
Hf: 0.0000 0.0000 0.5000  6 H 2.01
Hf: 0.0000 0.5000 0.0000  6 H 2.01
Hf: 0.0000 0.5000 0.5000  6 H 2.01
Hf: 0.1250 0.7500 0.8750  4 H 2.01
Hf: 0.1250 0.8750 0.2500  4 H 2.01
Hf: 0.2500 0.1250 0.8750  4 H 2.01
Hf: 0.2500 0.6250 0.3750  4 H 2.01
Hf: 0.3750 0.2500 0.6250  4 H 2.01
Hf: 0.3750 0.6250 0.7500  4 H 2.01
Hf: 0.5000 0.0000 0.0000  6 H 2.01
Hf: 0.5000 0.0000 0.5000  6 H 2.01
Hf: 0.5000 0.5000 0.0000  6 H 2.01
Hf: 0.5000 0.5000 0.5000  6 H 2.01
Hf: 0.6250 0.3750 0.2500  4 H 2.01
Hf: 0.6250 0.7500 0.3750  4 H 2.01
Hf: 0.7500 0.3750 0.6250  4 H 2.01
Hf: 0.7500 0.8750 0.1250  4 H 2.01
Hf: 0.8750 0.1250 0.7500  4 H 2.01
Hf: 0.8750 0.2500 0.1250  4 H 2.01
H: 0.0601 0.2199 0.1464  2 Hf 2.01, 2 Lu 2.13-2.24
H: 0.0601 0.3402 0.9137  2 Hf 2.01, 2 Lu 2.13-2.24
H: 0.0735 0.7199 0.6598  2 Hf 2.01, 2 Lu 2.13-2.24
H: 0.0735 0.8536 0.4137  2 Hf 2.01, 2 Lu 2.13-2.24
H: 0.0863 0.6464 0.4265  2 Hf 2.01, 2 Lu 2.13-2.24
H: 0.0863 0.9399 0.6598  2 Hf 2.01, 2 Lu 2.13-2.24
H: 0.1464 0.0601 0.2199  2 Hf 2.01, 2 Lu 2.13-2.24
H: 0.1464 0.5863 0.9265  2 Hf 2.01, 2 Lu 2.13-2.24
H: 0.1598 0.2199 0.5735  2 Hf 2.01, 2 Lu 2.13-2.24
H: 0.1598 0.4399 0.5863  2 Hf 2.01, 2 Lu 2.13-2.24
H: 0.2199 0.1464 0.0601  2 Hf 2.01, 2 Lu 2.13-2.24
H: 0.2199 0.5735 0.1598  2 Hf 2.01, 2 Lu 2.13-2.24
H: 0.2801 0.3402 0.9265  2 Hf 2.01, 2 Lu 2.13-2.24
H: 0.2801 0.4399 0.3536  2 Hf 2.01, 2 Lu 2.13-2.24
H: 0.3402 0.9137 0.0601  2 Hf 2.01, 2 Lu 2.13-2.24
H: 0.3402 0.9265 0.2801  2 Hf 2.01, 2 Lu 2.13-2.24
H: 0.3536 0.2801 0.4399  2 Hf 2.01, 2 Lu 2.13-2.24
H: 0.3536 0.5735 0.9137  2 Hf 2.01, 2 Lu 2.13-2.24
H: 0.4137 0.0735 0.8536  2 Hf 2.01, 2 Lu 2.13-2.24
H: 0.4137 0.8402 0.5601  2 Hf 2.01, 2 Lu 2.13-2.24
H: 0.4265 0.0863 0.6464  2 Hf 2.01, 2 Lu 2.13-2.24
H: 0.4265 0.8402 0.7801  2 Hf 2.01, 2 Lu 2.13-2.24
H: 0.4399 0.3536 0.2801  2 Hf 2.01, 2 Lu 2.13-2.24
H: 0.4399 0.5863 0.1598  2 Hf 2.01, 2 Lu 2.13-2.24
H: 0.5601 0.4137 0.8402  2 Hf 2.01, 2 Lu 2.13-2.24
H: 0.5601 0.6464 0.7199  2 Hf 2.01, 2 Lu 2.13-2.24
H: 0.5735 0.1598 0.2199  2 Hf 2.01, 2 Lu 2.13-2.24
H: 0.5735 0.9137 0.3536  2 Hf 2.01, 2 Lu 2.13-2.24
H: 0.5863 0.1598 0.4399  2 Hf 2.01, 2 Lu 2.13-2.24
H: 0.5863 0.9265 0.1464  2 Hf 2.01, 2 Lu 2.13-2.24
H: 0.6464 0.4265 0.0863  2 Hf 2.01, 2 Lu 2.13-2.24
H: 0.6464 0.7199 0.5601  2 Hf 2.01, 2 Lu 2.13-2.24
H: 0.6598 0.0735 0.7199  2 Hf 2.01, 2 Lu 2.13-2.24
H: 0.6598 0.0863 0.9399  2 Hf 2.01, 2 Lu 2.13-2.24
H: 0.7199 0.5601 0.6464  2 Hf 2.01, 2 Lu 2.13-2.24
H: 0.7199 0.6598 0.0735  2 Hf 2.01, 2 Lu 2.13-2.24
H: 0.7801 0.4265 0.8402  2 Hf 2.01, 2 Lu 2.13-2.24
H: 0.7801 0.8536 0.9399  2 Hf 2.01, 2 Lu 2.13-2.24
H: 0.8402 0.5601 0.4137  2 Hf 2.01, 2 Lu 2.13-2.24
H: 0.8402 0.7801 0.4265  2 Hf 2.01, 2 Lu 2.13-2.24
H: 0.8536 0.4137 0.0735  2 Hf 2.01, 2 Lu 2.13-2.24
H: 0.8536 0.9399 0.7801  2 Hf 2.01, 2 Lu 2.13-2.24
H: 0.9137 0.0601 0.3402  2 Hf 2.01, 2 Lu 2.13-2.24
H: 0.9137 0.3536 0.5735  2 Hf 2.01, 2 Lu 2.13-2.24
H: 0.9265 0.1464 0.5863  2 Hf 2.01, 2 Lu 2.13-2.24
H: 0.9265 0.2801 0.3402  2 Hf 2.01, 2 Lu 2.13-2.24
H: 0.9399 0.6598 0.0863  2 Hf 2.01, 2 Lu 2.13-2.24
H: 0.9399 0.7801 0.8536  2 Hf 2.01, 2 Lu 2.13-2.24

---

VASP calculation (PBE) on Hf3Mg5H12 after structural relaxation.

Unit cell a=10.1042 b=10.1042 c=10.1042 alpha=109.47 beta=109.47 gamma=109.47
With the nearest neighbours (Å) after each atom.
Positions (direct):
Hf: 0.1250 0.2500 0.3750  8 H 2.06-2.09
Hf: 0.1250 0.3750 0.7500  8 H 2.06-2.09
Hf: 0.2500 0.3750 0.1250  8 H 2.06-2.09
Hf: 0.2500 0.8750 0.6250  8 H 2.06-2.09
Hf: 0.3750 0.1250 0.2500  8 H 2.06-2.09
Hf: 0.3750 0.7500 0.1250  8 H 2.06-2.09
Hf: 0.6250 0.2500 0.8750  8 H 2.06-2.09
Hf: 0.6250 0.8750 0.7500  8 H 2.06-2.09
Hf: 0.7500 0.1250 0.3750  8 H 2.06-2.09
Hf: 0.7500 0.6250 0.8750  8 H 2.06-2.09
Hf: 0.8750 0.6250 0.2500  8 H 2.06-2.09
Hf: 0.8750 0.7500 0.6250  8 H 2.06-2.09
Mg: 0.0000 0.0000 0.0000  6 H 2.04
Mg: 0.0000 0.0000 0.5000  6 H 2.04
Mg: 0.0000 0.5000 0.0000  6 H 2.04
Mg: 0.0000 0.5000 0.5000  6 H 2.04
Mg: 0.1250 0.7500 0.8750  4 H 1.95
Mg: 0.1250 0.8750 0.2500  4 H 1.95
Mg: 0.2500 0.1250 0.8750  4 H 1.95
Mg: 0.2500 0.6250 0.3750  4 H 1.95
Mg: 0.3750 0.2500 0.6250  4 H 1.95
Mg: 0.3750 0.6250 0.7500  4 H 1.95
Mg: 0.5000 0.0000 0.0000  6 H 2.04
Mg: 0.5000 0.0000 0.5000  6 H 2.04
Mg: 0.5000 0.5000 0.0000  6 H 2.04
Mg: 0.5000 0.5000 0.5000  6 H 2.04
Mg: 0.6250 0.3750 0.2500  4 H 1.95
Mg: 0.6250 0.7500 0.3750  4 H 1.95
Mg: 0.7500 0.3750 0.6250  4 H 1.95
Mg: 0.7500 0.8750 0.1250  4 H 1.95
Mg: 0.8750 0.1250 0.7500  4 H 1.95
Mg: 0.8750 0.2500 0.1250  4 H 1.95
H: 0.0674 0.2320 0.1513  2 Mg 1.95-2.04, 1 H 2.02, 2 Hf 2.06-2.09
H: 0.0674 0.3354 0.9162  2 Mg 1.95-2.04, 1 H 2.02, 2 Hf 2.06-2.09
H: 0.0808 0.7320 0.6646  2 Mg 1.95-2.04, 1 H 2.02, 2 Hf 2.06-2.09
H: 0.0808 0.8487 0.4162  2 Mg 1.95-2.04, 1 H 2.02, 2 Hf 2.06-2.09
H: 0.0838 0.6513 0.4192  2 Mg 1.95-2.04, 1 H 2.02, 2 Hf 2.06-2.09
H: 0.0838 0.9326 0.6646  2 Mg 1.95-2.04, 1 H 2.02, 2 Hf 2.06-2.09
H: 0.1513 0.0674 0.2320  2 Mg 1.95-2.04, 1 H 2.02, 2 Hf 2.06-2.09
H: 0.1513 0.5838 0.9192  2 Mg 1.95-2.04, 1 H 2.02, 2 Hf 2.06-2.09
H: 0.1646 0.2320 0.5808  2 Mg 1.95-2.04, 1 H 2.02, 2 Hf 2.06-2.09
H: 0.1646 0.4326 0.5838  2 Mg 1.95-2.04, 1 H 2.02, 2 Hf 2.06-2.09
H: 0.2320 0.1513 0.0674  2 Mg 1.95-2.04, 1 H 2.02, 2 Hf 2.06-2.09
H: 0.2320 0.5808 0.1646  2 Mg 1.95-2.04, 1 H 2.02, 2 Hf 2.06-2.09
H: 0.2680 0.3354 0.9192  2 Mg 1.95-2.04, 1 H 2.02, 2 Hf 2.06-2.09
H: 0.2680 0.4326 0.3487  2 Mg 1.95-2.04, 1 H 2.02, 2 Hf 2.06-2.09
H: 0.3354 0.9162 0.0674  2 Mg 1.95-2.04, 1 H 2.02, 2 Hf 2.06-2.09
H: 0.3354 0.9192 0.2680  2 Mg 1.95-2.04, 1 H 2.02, 2 Hf 2.06-2.09
H: 0.3487 0.2680 0.4326  2 Mg 1.95-2.04, 1 H 2.02, 2 Hf 2.06-2.09
H: 0.3487 0.5808 0.9162  2 Mg 1.95-2.04, 1 H 2.02, 2 Hf 2.06-2.09
H: 0.4162 0.0808 0.8487  2 Mg 1.95-2.04, 1 H 2.02, 2 Hf 2.06-2.09
H: 0.4162 0.8354 0.5674  2 Mg 1.95-2.04, 1 H 2.02, 2 Hf 2.06-2.09
H: 0.4192 0.0838 0.6513  2 Mg 1.95-2.04, 1 H 2.02, 2 Hf 2.06-2.09
H: 0.4192 0.8354 0.7680  2 Mg 1.95-2.04, 1 H 2.02, 2 Hf 2.06-2.09
H: 0.4326 0.3487 0.2680  2 Mg 1.95-2.04, 1 H 2.02, 2 Hf 2.06-2.09
H: 0.4326 0.5838 0.1646  2 Mg 1.95-2.04, 1 H 2.02, 2 Hf 2.06-2.09
H: 0.5674 0.4162 0.8354  2 Mg 1.95-2.04, 1 H 2.02, 2 Hf 2.06-2.09
H: 0.5674 0.6513 0.7320  2 Mg 1.95-2.04, 1 H 2.02, 2 Hf 2.06-2.09
H: 0.5808 0.1646 0.2320  2 Mg 1.95-2.04, 1 H 2.02, 2 Hf 2.06-2.09
H: 0.5808 0.9162 0.3487  2 Mg 1.95-2.04, 1 H 2.02, 2 Hf 2.06-2.09
H: 0.5838 0.1646 0.4326  2 Mg 1.95-2.04, 1 H 2.02, 2 Hf 2.06-2.09
H: 0.5838 0.9192 0.1513  2 Mg 1.95-2.04, 1 H 2.02, 2 Hf 2.06-2.09
H: 0.6513 0.4192 0.0838  2 Mg 1.95-2.04, 1 H 2.02, 2 Hf 2.06-2.09
H: 0.6513 0.7320 0.5674  2 Mg 1.95-2.04, 1 H 2.02, 2 Hf 2.06-2.09
H: 0.6646 0.0808 0.7320  2 Mg 1.95-2.04, 1 H 2.02, 2 Hf 2.06-2.09
H: 0.6646 0.0838 0.9326  2 Mg 1.95-2.04, 1 H 2.02, 2 Hf 2.06-2.09
H: 0.7320 0.5674 0.6513  2 Mg 1.95-2.04, 1 H 2.02, 2 Hf 2.06-2.09
H: 0.7320 0.6646 0.0808  2 Mg 1.95-2.04, 1 H 2.02, 2 Hf 2.06-2.09
H: 0.7680 0.4192 0.8354  2 Mg 1.95-2.04, 1 H 2.02, 2 Hf 2.06-2.09
H: 0.7680 0.8487 0.9326  2 Mg 1.95-2.04, 1 H 2.02, 2 Hf 2.06-2.09
H: 0.8354 0.5674 0.4162  2 Mg 1.95-2.04, 1 H 2.02, 2 Hf 2.06-2.09
H: 0.8354 0.7680 0.4192  2 Mg 1.95-2.04, 1 H 2.02, 2 Hf 2.06-2.09
H: 0.8487 0.4162 0.0808  2 Mg 1.95-2.04, 1 H 2.02, 2 Hf 2.06-2.09
H: 0.8487 0.9326 0.7680  2 Mg 1.95-2.04, 1 H 2.02, 2 Hf 2.06-2.09
H: 0.9162 0.0674 0.3354  2 Mg 1.95-2.04, 1 H 2.02, 2 Hf 2.06-2.09
H: 0.9162 0.3487 0.5808  2 Mg 1.95-2.04, 1 H 2.02, 2 Hf 2.06-2.09
H: 0.9192 0.1513 0.5838  2 Mg 1.95-2.04, 1 H 2.02, 2 Hf 2.06-2.09
H: 0.9192 0.2680 0.3354  2 Mg 1.95-2.04, 1 H 2.02, 2 Hf 2.06-2.09
H: 0.9326 0.6646 0.0838  2 Mg 1.95-2.04, 1 H 2.02, 2 Hf 2.06-2.09
H: 0.9326 0.7680 0.8487  2 Mg 1.95-2.04, 1 H 2.02, 2 Hf 2.06-2.09

---

VASP calculation (PBE) on HfMg2H8 after structural relaxation.

Unit cell a=5.7487 b=5.7487 c=5.7487 alpha=148.20 beta=127.23 gamma=62.94
With the nearest neighbours (Å) after each atom.
Positions (direct):
Hf: 0.0000 0.0000 0.0000  12 H 2.04-2.11
Mg: 0.3261 0.3261 0.0000  8 H 2.00-2.12
Mg: 0.6739 0.6739 0.0000  8 H 2.00-2.12
H: 0.1036 0.8423 0.2613  3 Mg 2.00-2.12, 1 Hf 2.04, 4 H 2.08-2.21
H: 0.1363 0.6363 0.5000  6 H 1.94-2.08, 2 Hf 2.07
H: 0.2758 0.5000 0.7758  2 H 1.94, 2 Mg 2.05, 2 Hf 2.11
H: 0.4189 0.1577 0.2613  3 Mg 2.00-2.12, 1 Hf 2.04, 4 H 2.08-2.21
H: 0.5811 0.8423 0.7387  3 Mg 2.00-2.12, 1 Hf 2.04, 4 H 2.08-2.21
H: 0.7242 0.5000 0.2242  2 H 1.94, 2 Mg 2.05, 2 Hf 2.11
H: 0.8637 0.3637 0.5000  6 H 1.94-2.08, 2 Hf 2.07
H: 0.8964 0.1577 0.7387  3 Mg 2.00-2.12, 1 Hf 2.04, 4 H 2.08-2.21

---

Number 1: final energy -3.556 eV/atom. Number 2: final energy -4.397 eV/atom. Number 3: final energy -6.149 eV/atom. Number 4: final energy -4.621 eV/atom. Number 5: final energy -5.398 eV/atom. Number 6: final energy -6.736 eV/atom. Number 7: final energy -5.868 eV/atom. Number 8: final energy -5.924 eV/atom. Number 9: final energy -5.452 eV/atom. Number 10: final energy -5.617 eV/atom. Number 11: final energy -3.998 eV/atom. Number 12: final energy -3.835 eV/atom.